PmPrBr2: relaxed, PBE-GGA.

Results
space group: P2_1, No. 4
mass density: 5.62 g/cm³
energy above the most stable polymorph in this dataset: 0.16 eV per formula unit
Fermi-level density of states: 8.479 states/eV/cell
ΔE_f (raw): -4.43 eV/f.u.

Cell: 3.766 7.247 9.648 Å, 90.00 90.06 90.00°
Sites, in units of the cell vectors:
Pm (0.249, 0.000, 0.424)
Pm (0.751, 0.500, 0.576)
Pr (0.252, 0.185, 0.799)
Pr (0.748, 0.685, 0.201)
Br (0.248, 0.979, 0.089)
Br (0.251, 0.803, 0.689)
Br (0.749, 0.303, 0.311)
Br (0.752, 0.479, 0.911)

=====

PmPrBr3: relaxed, PBE-GGA.

Results
space group: C2/m, No. 12
mass density: 5.00 g/cm³
energy above the most stable polymorph in this dataset: 0.00 eV per formula unit
ΔE_f (raw): -7.63 eV/f.u.

Cell: 8.916 8.916 11.387 Å, 119.77 119.77 26.65°
Sites, in units of the cell vectors:
Pm (0.082, 0.082, 0.454)
Pm (0.918, 0.918, 0.546)
Pr (0.361, 0.361, 0.211)
Pr (0.639, 0.639, 0.789)
Br (0.159, 0.159, 0.007)
Br (0.276, 0.276, 0.381)
Br (0.457, 0.457, 0.758)
Br (0.543, 0.543, 0.242)
Br (0.724, 0.724, 0.619)
Br (0.841, 0.841, 0.993)

=====

Pm2PrBr6: relaxed, PBE-GGA.

Results
space group: C2/m, No. 12
mass density: 5.10 g/cm³
energy above the most stable polymorph in this dataset: 1.29 eV per formula unit
Fermi-level density of states: 4.135 states/eV/cell
ΔE_f (raw): -13.68 eV/f.u.

Cell: 9.065 9.065 6.895 Å, 99.26 99.26 32.07°
Sites, in units of the cell vectors:
Pm (0.197, 0.197, 0.099)
Pm (0.803, 0.803, 0.901)
Pr (0.500, 0.500, 0.500)
Br (0.057, 0.057, 0.304)
Br (0.241, 0.241, 0.704)
Br (0.379, 0.379, 0.128)
Br (0.621, 0.621, 0.872)
Br (0.759, 0.759, 0.296)
Br (0.943, 0.943, 0.696)